Record 1
K3GaSi | Alexandria | meta-GGA SCAN | PBEsol geometry; density of states at the Fermi level = 1.59 states/eV per cell; total magnetic moment = 0.00 μB per formula unit; V = 50.55 Å³/atom; electronic total energy = -9.621 eV per atom; E_form (uncorrected) = 0.649 eV/atom
1.0
-5.495 3.119 -0.223
-0.531 -0.488 6.281
3.082 5.478 0.686
K Si Ga
3 1 1
direct
0.500 0.000 0.000
0.000 0.500 0.000
0.000 0.000 0.500
0.500 0.500 0.500
0.000 0.000 0.000

Record 2
KGa2Si2 | Alexandria | meta-GGA SCAN | PBEsol geometry; density of states at the Fermi level = 1.02 states/eV per cell; total magnetic moment = 0.00 μB per formula unit; V = 20.15 Å³/atom; electronic total energy = -12.242 eV per atom; E_form (uncorrected) = -0.031 eV/atom
1.0
4.539 0.000 0.000
0.000 4.539 0.000
-2.269 -2.269 4.890
Si Ga K
2 2 1
direct
0.377 0.377 0.753
0.623 0.623 0.247
0.750 0.250 0.500
0.250 0.750 0.500
0.000 0.000 0.000

Record 3
KTa3Ga | Alexandria | meta-GGA SCAN | PBEsol geometry; density of states at the Fermi level = 7.55 states/eV per cell; total magnetic moment = 0.00 μB per formula unit; V = 23.29 Å³/atom; electronic total energy = -43.107 eV per atom
1.0
4.883 0.000 0.000
0.000 4.883 0.000
0.000 0.000 4.883
Ta K Ga
3 1 1
direct
0.000 0.000 0.500
0.500 0.000 0.000
0.000 0.500 0.000
0.500 0.500 0.500
0.000 0.000 0.000

Record 4
K3GaTe3 | Alexandria | meta-GGA SCAN | PBEsol geometry; density of states at the Fermi level = 0.00 states/eV per cell; total magnetic moment = 0.00 μB per formula unit; V = 36.82 Å³/atom; electronic total energy = -22.862 eV per atom; E_form (uncorrected) = -0.993 eV/atom
1.0
8.551 -0.051 0.000
-1.794 8.858 0.000
0.000 0.000 13.628
K Te Ga
12 12 4
direct
0.232 0.901 0.400
0.788 0.915 0.312
0.166 0.524 0.610
0.268 0.599 0.900
0.768 0.099 0.600
0.288 0.415 0.188
0.666 0.024 0.890
0.732 0.401 0.100
0.834 0.476 0.390
0.212 0.085 0.688
0.712 0.585 0.812
0.334 0.976 0.110
0.407 0.271 0.941
0.963 0.133 0.109
0.907 0.771 0.559
0.037 0.867 0.891
0.039 0.686 0.192
0.537 0.367 0.609
0.961 0.314 0.808
0.463 0.633 0.391
0.539 0.186 0.308
0.461 0.814 0.692
0.093 0.229 0.441
0.593 0.729 0.059
0.898 0.834 0.067
0.398 0.334 0.433
0.602 0.666 0.567
0.102 0.166 0.933

Record 5
KGaTe2 | Alexandria | meta-GGA SCAN | PBEsol geometry; density of states at the Fermi level = 0.00 states/eV per cell; total magnetic moment = 0.00 μB per formula unit; V = 35.10 Å³/atom; electronic total energy = -25.540 eV per atom; E_form (uncorrected) = -0.746 eV/atom
1.0
-0.803 5.475 -4.577
0.796 -6.367 -3.225
-5.773 -1.210 4.096
K Ga Te
2 2 4
direct
0.000 0.500 0.500
0.500 0.250 0.750
0.000 0.000 0.000
0.500 0.750 0.250
0.584 0.709 0.625
0.084 0.375 0.959
0.916 0.875 0.291
0.416 0.041 0.125

Record 6
KGaTe2 | Alexandria | meta-GGA SCAN | PBEsol geometry; density of states at the Fermi level = 0.00 states/eV per cell; total magnetic moment = 0.00 μB per formula unit; V = 34.75 Å³/atom; electronic total energy = -25.567 eV per atom; E_form (uncorrected) = -0.773 eV/atom
1.0
8.303 0.013 -0.132
0.012 8.303 -0.132
-2.329 -2.329 16.206
K Te Ga
8 16 8
direct
0.342 0.225 0.381
0.162 0.761 0.605
0.838 0.239 0.395
0.225 0.342 0.881
0.658 0.775 0.619
0.775 0.658 0.119
0.761 0.162 0.105
0.239 0.838 0.895
0.439 0.561 0.750
0.801 0.361 0.936
0.639 0.199 0.564
0.361 0.801 0.436
0.039 0.441 0.261
0.199 0.639 0.064
0.207 0.150 0.063
0.850 0.793 0.437
0.441 0.039 0.761
0.961 0.559 0.739
0.030 0.970 0.250
0.561 0.439 0.250
0.793 0.850 0.937
0.970 0.030 0.750
0.559 0.961 0.239
0.150 0.207 0.563
0.573 0.735 0.334
0.739 0.077 0.841
0.735 0.573 0.834
0.265 0.427 0.166
0.923 0.261 0.659
0.427 0.265 0.666
0.261 0.923 0.159
0.077 0.739 0.341

Record 7
KTl2Ga2 | Alexandria | meta-GGA SCAN | PBEsol geometry; density of states at the Fermi level = 1.79 states/eV per cell; total magnetic moment = 0.00 μB per formula unit; V = 26.92 Å³/atom; electronic total energy = -37.292 eV per atom
1.0
4.869 0.000 0.000
0.000 4.869 0.000
-2.434 -2.434 5.677
Tl Ga K
2 2 1
direct
0.750 0.250 0.500
0.250 0.750 0.500
0.611 0.611 0.221
0.389 0.389 0.779
0.000 0.000 0.000

Record 8
K3ZnGa | Alexandria | meta-GGA SCAN | PBEsol geometry; density of states at the Fermi level = 3.27 states/eV per cell; total magnetic moment = 0.00 μB per formula unit; V = 52.63 Å³/atom; electronic total energy = -10.572 eV per atom
1.0
-2.808 5.745 0.414
-1.043 -0.054 -6.323
-5.665 -2.838 0.959
K Ga Zn
3 1 1
direct
0.000 0.000 0.500
0.500 0.000 0.000
0.000 0.500 0.000
0.000 0.000 0.000
0.500 0.500 0.500

Record 9
KZnGa3 | Alexandria | meta-GGA SCAN | PBEsol geometry; density of states at the Fermi level = 5.74 states/eV per cell; total magnetic moment = 0.00 μB per formula unit; V = 35.14 Å³/atom; electronic total energy = -12.817 eV per atom
1.0
5.601 0.000 0.000
0.000 5.601 0.000
0.000 0.000 5.601
Zn Ga K
1 3 1
direct
0.500 0.500 0.500
0.500 0.000 0.000
0.000 0.500 0.000
0.000 0.000 0.500
0.000 0.000 0.000

Record 10
La5Ga3 | Alexandria | meta-GGA SCAN | PBEsol geometry; density of states at the Fermi level = 28.15 states/eV per cell; total magnetic moment = 0.00 μB per formula unit; V = 28.12 Å³/atom; electronic total energy = -33.644 eV per atom
1.0
7.910 0.000 0.000
0.000 7.910 0.000
0.000 0.000 14.383
La Ga
20 12
direct
0.815 0.163 0.101
0.163 0.185 0.899
0.500 0.000 0.286
0.000 0.500 0.214
0.315 0.663 0.899
0.837 0.815 0.899
0.185 0.837 0.101
0.663 0.685 0.101
0.315 0.337 0.399
0.337 0.315 0.101
0.837 0.185 0.399
0.163 0.815 0.399
0.337 0.685 0.601
0.000 0.500 0.714
0.185 0.163 0.601
0.685 0.337 0.899
0.815 0.837 0.601
0.663 0.315 0.601
0.685 0.663 0.399
0.500 0.000 0.786
0.617 0.617 0.750
0.383 0.617 0.250
0.000 0.500 0.001
0.117 0.117 0.250
0.383 0.383 0.750
0.000 0.500 0.501
0.117 0.883 0.750
0.617 0.383 0.250
0.883 0.117 0.750
0.500 0.000 0.999
0.883 0.883 0.250
0.500 0.000 0.499

Record 11
La3Ga | Alexandria | meta-GGA SCAN | PBEsol geometry; density of states at the Fermi level = 4.37 states/eV per cell; total magnetic moment = 0.03 μB per formula unit; V = 28.25 Å³/atom; electronic total energy = -36.737 eV per atom
1.0
-3.836 2.829 -0.808
-2.688 -2.829 2.854
1.197 2.714 3.818
Ga La
1 3
direct
0.000 0.000 0.000
0.500 0.000 0.500
0.500 0.500 0.000
0.000 0.500 0.500

Record 12
LaGa | Alexandria | meta-GGA SCAN | PBEsol geometry; density of states at the Fermi level = 3.03 states/eV per cell; total magnetic moment = 0.15 μB per formula unit; V = 26.41 Å³/atom; electronic total energy = -30.436 eV per atom
1.0
-3.336 -2.471 0.332
2.010 -2.276 3.259
-1.235 2.404 5.484
La Ga
2 2
direct
0.750 0.855 0.289
0.250 0.145 0.711
0.750 0.566 0.867
0.250 0.434 0.133

Question: V of number 10 (La5Ga3)?
Answer: 28.12 Å³/atom